VASP calculation (GGA-PBE) on crystalline Ac3Si4Ir2Os2 at its relaxed geometry.

Summary:
Formation energy from raw total energies in eV per atom: -0.585
Raw total energy in eV per atom: -7.33

Lattice parameters (Å, degrees): 4.1500 4.1500 16.4416 90.00 90.00 120.00
Closest atoms and distances in Å follow each position.
Fractional positions:
Ac  0.0000  0.0000  0.0000  6 Si 3.33, 6 Ir 3.37
Ac  0.0000  0.0000  0.2842  6 Si 3.26-3.36, 3 Ir 3.33, 3 Os 3.47
Ac  0.0000  0.0000  0.7158  6 Si 3.26-3.36, 3 Ir 3.33, 3 Os 3.47
Si  0.3333  0.6667  0.4185  4 Os 2.38-2.41
Si  0.3333  0.6667  0.8594  3 Ir 2.40
Si  0.6667  0.3333  0.1406  3 Ir 2.40
Si  0.6667  0.3333  0.5815  4 Os 2.38-2.41
Ir  0.3333  0.6667  0.1440  3 Si 2.40
Ir  0.6667  0.3333  0.8560  3 Si 2.40
Os  0.3333  0.6667  0.5635  4 Si 2.38-2.41
Os  0.6667  0.3333  0.4365  4 Si 2.38-2.41

VASP calculation (GGA-PBE) on crystalline Y2TmAl2 at its relaxed geometry.

Summary:
Raw total energy in eV per atom: -5.31
E_form in eV/atom: -0.335

Lattice parameters (Å, degrees): 5.8443 5.8443 5.8443 132.44 112.46 86.74
Closest atoms and distances in Å follow each position.
Fractional positions:
Y  0.1978  0.1978  0.0000  6 Al 3.18-3.22, 1 Y 3.36, 2 Tm 3.49
Y  0.8022  0.8022  0.0000  6 Al 3.18-3.22, 1 Y 3.36, 2 Tm 3.49
Tm  0.5000  0.0000  0.5000  4 Al 3.05
Al  0.2020  0.5000  0.7020  1 Al 2.62
Al  0.7980  0.5000  0.2980  1 Al 2.62

- Which value of raw total energy does entry 1 give?
  -7.33 eV per atom